Here is crystalline Zr2Co2P at its relaxed geometry from the Alexandria database. Energies are from GGA-PBE.

Cell lengths 6.426, 6.426, 3.708 Å; angles 90.00, 90.00, 90.00 degrees
Positions (direct):
Zr (0.177, 0.323, 0.000)
Zr (0.323, 0.823, 0.000)
Zr (0.677, 0.177, 0.000)
Zr (0.823, 0.677, 0.000)
Co (0.134, 0.634, 0.500)
Co (0.366, 0.134, 0.500)
Co (0.634, 0.866, 0.500)
Co (0.866, 0.366, 0.500)
P (0.000, 0.000, 0.500)
P (0.500, 0.500, 0.500)

## Properties
formation enthalpy at 0 K	-0.445	eV per atom
size of the total moment	0.0000	μB per atom